1.
The following is a DFT calculation (PBE+U) of a geometry-optimized LiVSeO5 structure.

extended XYZ file:
```
16
Lattice="5.423 0.591 -0.166 -1.018 5.359 -0.166 -2.026 -2.736 6.701" Properties=species:S:1:pos:R:3 pbc="T T T"
Li 0.507 3.171 1.509
Li 1.872 0.043 4.860
V -1.013 -1.368 3.350
V 0.000 0.000 0.000
Se 2.818 1.460 1.509
Se -0.439 1.753 4.860
O 4.845 -0.041 1.509
O -2.466 3.254 4.860
O 4.036 1.811 -0.161
O -1.657 1.402 6.530
O 2.838 0.193 3.179
O -0.459 3.021 3.189
O 2.449 3.058 2.110
O -0.070 0.155 4.259
O 1.182 1.347 0.908
O 1.197 1.867 5.460
```

Properties
total magnetic moment = 0.00 μB per formula unit
SG = C2/c, No. 15
electronic total energy = -6.0597 eV/atom

***

2.
The following is a DFT calculation (PBE+U) of a geometry-optimized Li2VSeO6 structure.

extended XYZ file:
```
10
Lattice="4.636 0.000 0.000 0.000 5.205 0.000 0.000 0.000 5.205" Properties=species:S:1:pos:R:3 pbc="T T T"
Li 4.248 2.602 0.000
Li 4.248 0.000 2.602
V 2.792 2.602 2.602
Se 2.825 0.000 0.000
O 3.363 1.313 1.313
O 3.363 1.313 3.892
O 1.154 2.602 2.602
O 1.169 0.000 0.000
O 3.363 3.892 3.892
O 3.363 3.892 1.313
```

Properties
total magnetic moment = 0.00 μB per formula unit
SG = P4mm, No. 99
electronic total energy = -5.8250 eV/atom

***

3.
The following is a DFT calculation (PBE+U) of a geometry-optimized LiVSeO6 structure.

extended XYZ file:
```
18
Lattice="4.927 0.000 0.000 -2.464 4.267 0.000 0.000 0.000 9.527" Properties=species:S:1:pos:R:3 pbc="T T T"
Li 0.000 0.000 0.000
Li 0.000 0.000 4.764
V 2.464 1.422 2.382
V 0.000 2.845 7.145
Se 0.000 2.845 2.382
Se 2.464 1.422 7.145
O 1.502 2.700 1.351
O -0.876 1.617 1.351
O 1.838 0.050 6.114
O 3.340 2.650 8.176
O 0.876 1.617 3.413
O -1.502 2.700 3.413
O 3.089 0.050 8.176
O 0.625 4.218 3.413
O 3.965 1.567 6.114
O -0.625 4.218 1.351
O 1.587 2.650 6.114
O 0.962 1.567 8.176
```

Properties
total magnetic moment = 0.00 μB per formula unit
SG = P-31c, No. 163
electronic total energy = -5.9930 eV/atom

***

4.
The following is a DFT calculation (PBE+U) of a geometry-optimized LiWSeO2 structure.

extended XYZ file:
```
5
Lattice="3.827 0.000 0.000 0.000 7.666 0.000 0.000 0.000 3.827" Properties=species:S:1:pos:R:3 pbc="T T T"
O 0.000 0.000 1.914
O 1.914 0.000 0.000
Se 1.914 3.833 1.914
W 0.000 0.000 0.000
Li 0.000 3.833 0.000
```

Properties
total magnetic moment = 2.23 μB per formula unit
SG = P4/mmm, No. 123
electronic total energy = -5.4934 eV/atom